Density functional theory data (PBE+U) for Ba2TiMo3O12 after structural relaxation.

Uncorrected energy: -7.271 eV per atom
Calculated volume: 280 Å³/f.u.

abc: 7.245 7.245 7.245
angles: 61.82 61.82 61.82
Last column: magnetic moment on the atom in μB.
Sites, in units of the cell vectors:
Ba 0.670 0.670 0.670  0.00
Ba 0.330 0.330 0.330  0.00
Ti 0.000 0.000 0.000  0.01
Mo 0.500 0.000 0.000  0.71
Mo 0.000 0.500 0.000  0.71
Mo 0.000 0.000 0.500  0.71
O 0.321 0.321 0.946  0.00
O 0.935 0.935 0.314  -0.03
O 0.314 0.935 0.935  -0.03
O 0.946 0.321 0.321  0.00
O 0.935 0.314 0.935  -0.03
O 0.321 0.946 0.321  0.00
O 0.679 0.679 0.054  0.00
O 0.065 0.065 0.686  -0.03
O 0.686 0.065 0.065  -0.03
O 0.054 0.679 0.679  0.00
O 0.065 0.686 0.065  -0.03
O 0.679 0.054 0.679  0.00